[1]
BeAl2Pt after structural relaxation. Source: Alexandria, functional PBE-GGA.

a = 3.8531 Å, b = 3.8531 Å, c = 3.6337 Å
α = 90.00°, β = 90.00°, γ = 90.00°
With the nearest neighbours (Å) after each atom.
Space group P4/mmm (No. 123)
Symmetry-distinct sites (fractional):
1 Be 0.0000 0.0000 0.0000 [1 per cell]  8 Al 2.65, 4 Pt 2.72
2 Al 0.0000 0.5000 0.5000 [2 per cell]  4 Be 2.65, 4 Pt 2.65, 4 Al 2.72
3 Pt 0.5000 0.5000 0.0000 [1 per cell]  8 Al 2.65, 4 Be 2.72

Computed properties:
DOS(E_F)   0.60 states/eV per cell
DFT formation energy   -0.461 eV/atom
Size of the total moment   0.0 μB per formula unit


[2]
SrGd3Ru after structural relaxation. Source: Alexandria, functional PBE-GGA.

a = 5.5260 Å, b = 5.5260 Å, c = 5.5260 Å
α = 90.00°, β = 90.00°, γ = 90.00°
With the nearest neighbours (Å) after each atom.
Space group Pm-3m (No. 221)
Symmetry-distinct sites (fractional):
1 Sr 0.0000 0.0000 0.0000 [1 per cell]  12 Gd 3.91
2 Gd 0.0000 0.5000 0.5000 [3 per cell]  2 Ru 2.76
3 Ru 0.5000 0.5000 0.5000 [1 per cell]  6 Gd 2.76

Computed properties:
DOS(E_F)   5.35 states/eV per cell
DFT formation energy   -0.136 eV/atom
Size of the total moment   21.5 μB per formula unit


[3]
Rb2CI after structural relaxation. Source: Alexandria, functional PBE-GGA.

a = 8.7569 Å, b = 8.7569 Å, c = 9.9189 Å
α = 90.00°, β = 90.00°, γ = 90.00°
With the nearest neighbours (Å) after each atom.
Space group I-42d (No. 122)
Symmetry-distinct sites (fractional):
1 Rb 0.1981 0.7500 0.1250 [8 per cell]  2 C 3.06
2 C 0.0000 0.0000 0.0000 [4 per cell]  4 Rb 3.06
3 I 0.0000 0.0000 0.5000 [4 per cell]  4 Rb 3.65

Computed properties:
DOS(E_F)   0.00 states/eV per cell
Relative energy among the computed polymorphs   0 meV/atom
Raw formation energy   0.47 eV/atom
Size of the total moment   3.0 μB per formula unit


[4]
AsRhI3 after structural relaxation. Source: Alexandria, functional PBE-GGA.

a = 5.3333 Å, b = 5.3333 Å, c = 5.3333 Å
α = 90.00°, β = 90.00°, γ = 90.00°
With the nearest neighbours (Å) after each atom.
Space group Pm-3m (No. 221)
Symmetry-distinct sites (fractional):
1 As 0.0000 0.0000 0.0000 [1 per cell]  12 I 3.77
2 Rh 0.5000 0.5000 0.5000 [1 per cell]  6 I 2.67
3 I 0.0000 0.5000 0.5000 [3 per cell]  2 Rh 2.67

Computed properties:
DOS(E_F)   2.83 states/eV per cell
Relative energy among the computed polymorphs   0 meV/atom
Raw formation energy   0.50 eV/atom
Size of the total moment   0.0 μB per formula unit


[5]
Be2AlB after structural relaxation. Source: Alexandria, functional PBE-GGA.

a = 9.0628 Å, b = 3.3778 Å, c = 5.7227 Å
α = 90.00°, β = 114.18°, γ = 90.00°
With the nearest neighbours (Å) after each atom.
Space group Cm (No. 8)
Symmetry-distinct sites (fractional):
1 Be 0.0000 0.0000 0.0000 [2 per cell]  1 B 1.97, 2 Be 2.19
2 Be 0.0047 0.5000 0.7125 [2 per cell]  3 B 1.94-2.05
3 Be 0.0194 0.0000 0.4629 [2 per cell]  3 B 2.00-2.01, 2 Be 2.12
4 Be 0.4688 0.0000 0.2179 [2 per cell]  1 B 1.92, 2 Be 2.12
5 Al 0.2330 0.5000 0.2042 [2 per cell]  2 B 2.23-2.34, 2 Be 2.40-2.43
6 Al 0.2718 0.0000 0.8052 [2 per cell]  4 B 2.22-2.29, 3 Be 2.30-2.38
7 B 0.1522 0.5000 0.5434 [2 per cell]  1 B 1.77, 2 Be 1.92-1.94
8 B 0.3639 0.5000 0.6301 [2 per cell]  1 B 1.77, 1 Be 1.97

Computed properties:
DOS(E_F)   2.40 states/eV per cell
Relative energy among the computed polymorphs   124 meV/atom
DFT formation energy   0.146 eV/atom
Size of the total moment   0.0 μB per formula unit


[6]
SmPaSnAu after structural relaxation. Source: Alexandria, functional PBE-GGA.

a = 7.4840 Å, b = 7.4840 Å, c = 7.4840 Å
α = 90.00°, β = 90.00°, γ = 90.00°
With the nearest neighbours (Å) after each atom.
Space group F-43m (No. 216)
Symmetry-distinct sites (fractional):
1 Sm 0.0000 0.0000 0.0000 [4 per cell]  4 Au 3.24, 4 Sn 3.24
2 Pa 0.0000 0.0000 0.5000 [4 per cell]  4 Sn 3.24, 4 Au 3.24
3 Sn 0.2500 0.2500 0.7500 [4 per cell]  4 Pa 3.24, 4 Sm 3.24
4 Au 0.2500 0.2500 0.2500 [4 per cell]  4 Pa 3.24, 4 Sm 3.24

Computed properties:
DOS(E_F)   35.30 states/eV per cell
DFT formation energy   -0.324 eV/atom
Size of the total moment   2.7 μB per formula unit


[7]
SmB6Ir5 after structural relaxation. Source: Alexandria, functional PBE-GGA.

a = 6.6125 Å, b = 8.1300 Å, c = 5.4748 Å
α = 90.00°, β = 91.37°, γ = 90.00°
With the nearest neighbours (Å) after each atom.
Space group Cm (No. 8)
Symmetry-distinct sites (fractional):
1 Sm 0.0000 0.0000 0.0000 [2 per cell]  8 B 2.70-2.99, 5 Ir 2.79-3.03
2 B 0.1327 0.3143 0.0256 [4 per cell]  1 B 1.93
3 B 0.1837 0.0000 0.5409 [2 per cell]  2 B 1.88
4 B 0.4338 0.3898 0.5296 [4 per cell]  2 B 1.79-1.88
5 B 0.4519 0.0000 0.0359 [2 per cell]  2 B 1.93, 3 Ir 2.13-2.15
6 Ir 0.1800 0.5000 0.3229 [2 per cell]  5 B 2.15-2.24
7 Ir 0.3196 0.1796 0.3017 [4 per cell]  4 B 2.17-2.25
8 Ir 0.3546 0.1894 0.7909 [4 per cell]  5 B 2.13-2.33

Computed properties:
DOS(E_F)   4.33 states/eV per cell
DFT formation energy   -0.229 eV/atom
Size of the total moment   0.0 μB per formula unit


[8]
Ni2RuPtN after structural relaxation. Source: Alexandria, functional PBE-GGA.

a = 3.8920 Å, b = 3.8920 Å, c = 3.9158 Å
α = 90.00°, β = 90.00°, γ = 90.00°
With the nearest neighbours (Å) after each atom.
Space group P4/mmm (No. 123)
Symmetry-distinct sites (fractional):
1 Ni 0.0000 0.5000 0.0000 [2 per cell]  2 N 1.95
2 Ru 0.0000 0.0000 0.5000 [1 per cell]  2 N 1.96
3 Pt 0.5000 0.5000 0.5000 [1 per cell]  4 Ru 2.75, 8 Ni 2.76
4 N 0.0000 0.0000 0.0000 [1 per cell]  4 Ni 1.95, 2 Ru 1.96

Computed properties:
DOS(E_F)   5.91 states/eV per cell
Raw formation energy   0.13 eV/atom
Size of the total moment   1.9 μB per formula unit